Compound: Cs4HgH2
Source: Alexandria
Functional: PBE-GGA
Structure: relaxed

```
Cs4HgH2
1.0
-1.3437 6.3249 2.4874
-3.4290 -2.8201 5.3185
4.9678 1.5022 8.5118
Cs H Hg
4 2 1
Direct
0.7538 0.7538 0.4925 Cs
0.2462 0.2462 0.5075 Cs
0.0000 0.5000 0.0000 Cs
0.5000 0.0000 0.0000 Cs
0.5943 0.5943 0.8114 H
0.4057 0.4057 0.1886 H
0.0000 0.0000 0.0000 Hg
```

Calculated values
Energy = -9.58 eV for the cell shown

Compound: SnBiTeI2
Source: Alexandria
Functional: PBE-GGA
Structure: relaxed

```
SnBiTeI2
1.0
5.8006 0.0000 0.0000
0.0000 6.3275 0.0000
0.0000 0.0000 5.8006
I Te Bi Sn
2 1 1 1
Direct
0.0000 0.0000 0.5000 I
0.5000 0.0000 0.0000 I
0.5000 0.5000 0.5000 Te
0.0000 0.5000 0.0000 Bi
0.0000 0.0000 0.0000 Sn
```

Calculated values
Energy = -12.36 eV for the cell shown
ΔE to the lowest computed polymorph = 11.7 kJ per mole of atoms
Formation energy (no corrections) = 0.353 eV per atom

Compound: LiDySnAu
Source: Alexandria
Functional: PBE-GGA
Structure: relaxed

```
LiDySnAu
1.0
4.9778 0.0000 0.0000
2.4889 4.3109 0.0000
2.4889 1.4370 4.0644
Li Au Sn Dy
1 1 1 1
Direct
0.2500 0.2500 0.2500 Li
0.0000 0.0000 0.0000 Au
0.5000 0.5000 0.5000 Sn
0.7500 0.7500 0.7500 Dy
```

Calculated values
Energy = -16.30 eV for the cell shown
Energy relative to the elements = -0.626 eV/atom

Compound: Te2IrSe
Source: Alexandria
Functional: PBE-GGA
Structure: relaxed

```
Te2IrSe
1.0
9.9217 5.7760 4.6568
10.2904 3.1407 6.1425
11.4159 3.4748 3.3300
Ir Te Se
1 2 1
Direct
0.0000 0.0000 0.0000 Ir
0.9300 0.9300 0.9300 Te
0.0700 0.0700 0.0700 Te
0.5000 0.5000 0.5000 Se
```

Calculated values
Energy = -16.67 eV for the cell shown
Formation energy (no corrections) = 0.489 eV per atom

Compound: HfMgTiNb
Source: Alexandria
Functional: PBE-GGA
Structure: relaxed

```
HfMgTiNb
1.0
2.9288 0.0000 0.0000
0.0000 2.9288 0.0000
-1.4644 -1.4644 9.8828
Hf Mg Ti Nb
1 1 1 1
Direct
0.9513 0.9513 0.9027 Hf
0.3244 0.3244 0.6488 Mg
0.1704 0.1704 0.3407 Ti
0.5660 0.5660 0.1320 Nb
```

Calculated values
Energy = -28.39 eV for the cell shown
ΔE to the lowest computed polymorph = 12.3 kJ per mole of atoms
Energy relative to the elements = 0.281 eV/atom

Compound: SrB2Pb2O6
Source: Alexandria
Functional: PBE-GGA
Structure: relaxed

```
SrB2Pb2O6
1.0
-2.1425 -4.4393 -1.6527
4.8754 1.1953 -1.3534
2.9926 -4.1073 7.1529
Sr B Pb O
1 2 2 6
Direct
0.0000 0.0000 0.0000 Sr
0.3333 0.6667 0.8132 B
0.6667 0.3333 0.1868 B
0.3333 0.6667 0.3203 Pb
0.6667 0.3333 0.6797 Pb
0.3408 0.4032 0.8152 O
0.0625 0.6592 0.8152 O
0.5968 0.9375 0.8152 O
0.6592 0.5968 0.1848 O
0.9375 0.3408 0.1848 O
0.4032 0.0625 0.1848 O
```

Calculated values
Energy = -75.85 eV for the cell shown
Formation energy (no corrections) = -2.150 eV per atom

Compound: AsPRhO2
Source: Alexandria
Functional: PBE-GGA
Structure: relaxed

```
AsPRhO2
1.0
-3.3419 -1.0183 1.4764
0.3087 -3.4022 -1.6477
2.4137 -1.8193 4.2087
P As Rh O
1 1 1 2
Direct
0.0000 0.0000 0.5000 P
0.5000 0.5000 0.5000 As
0.0000 0.0000 0.0000 Rh
0.0000 0.5000 0.0000 O
0.5000 0.0000 0.0000 O
```

Calculated values
Energy = -26.96 eV for the cell shown
ΔE to the lowest computed polymorph = 4.2 kJ per mole of atoms
Formation energy (no corrections) = 0.074 eV per atom

Compound: Ac3ScSe6
Source: Alexandria
Functional: PBE-GGA
Structure: relaxed

```
Ac3ScSe6
1.0
7.3752 0.0000 0.0000
0.0000 9.6169 0.0310
0.0000 -2.1158 9.3813
Ac Sc Se
6 2 12
Direct
0.4770 0.9172 0.7122 Ac
0.9770 0.7122 0.9172 Ac
0.4079 0.3975 0.6025 Ac
0.9079 0.6025 0.3975 Ac
0.9770 0.0828 0.2878 Ac
0.4770 0.2878 0.0828 Ac
0.0182 0.1952 0.8048 Sc
0.5182 0.8048 0.1952 Sc
0.1928 0.6833 0.6400 Se
0.6928 0.6400 0.6833 Se
0.1913 0.4261 0.8993 Se
0.6913 0.8993 0.4261 Se
0.1686 0.0376 0.9624 Se
0.6685 0.2197 0.7803 Se
0.1685 0.7803 0.2197 Se
0.6686 0.9624 0.0376 Se
0.1913 0.1007 0.5739 Se
0.6913 0.5739 0.1007 Se
0.1928 0.3600 0.3167 Se
0.6928 0.3167 0.3600 Se
```

Calculated values
Energy = -117.48 eV for the cell shown
Formation energy (no corrections) = -1.918 eV per atom

Number 8 is which compound? Ac3ScSe6

What is the energy in the eighth record? -117.48 eV for the cell shown

The highest energy belongs to which entry? Cs4HgH2

Repeat the fourth record exactly.
Compound: Te2IrSe
Source: Alexandria
Functional: PBE-GGA
Structure: relaxed

```
Te2IrSe
1.0
9.9217 5.7760 4.6568
10.2904 3.1407 6.1425
11.4159 3.4748 3.3300
Ir Te Se
1 2 1
Direct
0.0000 0.0000 0.0000 Ir
0.9300 0.9300 0.9300 Te
0.0700 0.0700 0.0700 Te
0.5000 0.5000 0.5000 Se
```

Calculated values
Energy = -16.67 eV for the cell shown
Formation energy (no corrections) = 0.489 eV per atom